#one
Na2AgBi2 | GGA-PBE | relaxed

a b c (Å): 9.305 9.305 3.239
angles (deg): 90.00 90.00 90.00
Sites, in units of the cell vectors:
1 Ag 0.500 0.500 0.000
2 Ag 0.000 0.000 0.000
3 Bi 0.186 0.686 0.500
4 Bi 0.686 0.814 0.500
5 Bi 0.814 0.314 0.500
6 Bi 0.314 0.186 0.500
7 Na 0.115 0.385 0.000
8 Na 0.885 0.615 0.000
9 Na 0.385 0.885 0.000
10 Na 0.615 0.115 0.000

Values from the calculation:
Theoretical density ... 6.77 Mg/m³

***

#two
Na2AgBi2 | GGA-PBE | relaxed

a b c (Å): 7.619 7.619 5.115
angles (deg): 90.00 90.00 90.00
Sites, in units of the cell vectors:
1 Bi 0.854 0.646 0.000
2 Bi 0.146 0.354 0.000
3 Bi 0.354 0.854 0.000
4 Bi 0.646 0.146 0.000
5 Ag 0.000 0.000 0.000
6 Ag 0.500 0.500 0.000
7 Na 0.836 0.336 0.500
8 Na 0.164 0.664 0.500
9 Na 0.664 0.836 0.500
10 Na 0.336 0.164 0.500

Values from the calculation:
Theoretical density ... 6.39 Mg/m³

***

#three
Na2AgBi2 | GGA-PBE | relaxed

a b c (Å): 6.642 6.642 7.695
angles (deg): 75.53 75.53 68.72
Sites, in units of the cell vectors:
1 Na 0.256 0.429 0.622
2 Na 0.744 0.571 0.378
3 Na 0.571 0.744 0.878
4 Na 0.429 0.256 0.122
5 Bi 0.731 0.046 0.460
6 Bi 0.954 0.269 0.040
7 Bi 0.269 0.954 0.540
8 Bi 0.046 0.731 0.960
9 Ag 0.196 0.804 0.250
10 Ag 0.804 0.196 0.750

Values from the calculation:
Theoretical density ... 6.30 Mg/m³

***

Q: What are the energies relative to the best structure? A: #one 0.254; #two 0.000; #three 0.044, in eV/atom.